# 1
TbY4Rh5 | PBE-GGA | relaxed

Summary:
- DOS(E_F): 6.91 states/eV/cell
- SG: P4/mmm
- Raw total energy: -7.5592 eV/atom
- Crystal system: tetragonal

a = 3.4085 Å, b = 3.4085 Å, c = 17.4976 Å
α = 90.00°, β = 90.00°, γ = 90.00°
Last column: nearest neighbours and their distance in Å.
Atoms (fractional coordinates):
1 Tb 0.0000 0.0000 0.0000  8 Rh 2.97
2 Y 0.0000 0.0000 0.2000  8 Rh 2.98-2.99
3 Y 0.0000 0.0000 0.4000  8 Rh 2.98
4 Y 0.0000 0.0000 0.6000  8 Rh 2.98
5 Y 0.0000 0.0000 0.8000  8 Rh 2.98-2.99
6 Rh 0.5000 0.5000 0.0994  4 Tb 2.97, 4 Y 2.99
7 Rh 0.5000 0.5000 0.3000  8 Y 2.98
8 Rh 0.5000 0.5000 0.5000  8 Y 2.98
9 Rh 0.5000 0.5000 0.7000  8 Y 2.98
10 Rh 0.5000 0.5000 0.9006  4 Tb 2.97, 4 Y 2.99

# 2
Tb3Y3Rh2 | PBE-GGA | relaxed

Summary:
- DOS(E_F): 16.75 states/eV/cell
- SG: Cmcm
- Raw total energy: -6.3934 eV/atom
- Crystal system: orthorhombic

a = 6.8618 Å, b = 6.8618 Å, c = 18.2923 Å
α = 90.00°, β = 90.00°, γ = 148.08°
Last column: nearest neighbours and their distance in Å.
Atoms (fractional coordinates):
1 Tb 0.0505 0.9495 0.7500  2 Rh 2.85
2 Tb 0.1736 0.8264 0.0605  2 Rh 2.88
3 Tb 0.1736 0.8264 0.4395  2 Rh 2.88
4 Tb 0.8264 0.1736 0.5605  2 Rh 2.88
5 Tb 0.8264 0.1736 0.9395  2 Rh 2.88
6 Tb 0.9495 0.0505 0.2500  2 Rh 2.85
7 Y 0.2226 0.7774 0.2500  4 Rh 2.94
8 Y 0.4395 0.5605 0.0884  2 Rh 2.82
9 Y 0.4395 0.5605 0.4116  2 Rh 2.82
10 Y 0.5605 0.4395 0.5884  2 Rh 2.82
11 Y 0.5605 0.4395 0.9116  2 Rh 2.82
12 Y 0.7774 0.2226 0.7500  4 Rh 2.94
13 Rh 0.2023 0.7977 0.6394  4 Y 2.82-2.94, 3 Tb 2.85-2.88
14 Rh 0.2023 0.7977 0.8606  4 Y 2.82-2.94, 3 Tb 2.85-2.88
15 Rh 0.7977 0.2023 0.1394  4 Y 2.82-2.94, 3 Tb 2.85-2.88
16 Rh 0.7977 0.2023 0.3606  4 Y 2.82-2.94, 3 Tb 2.85-2.88

# 3
Tb3Y2Rh2 | PBE-GGA | relaxed

Summary:
- DOS(E_F): 6.65 states/eV/cell
- SG: C2/m
- Raw total energy: -6.5007 eV/atom
- Crystal system: monoclinic

a = 6.3225 Å, b = 6.3225 Å, c = 8.9145 Å
α = 114.95°, β = 114.95°, γ = 35.25°
Last column: nearest neighbours and their distance in Å.
Atoms (fractional coordinates):
1 Tb 0.0000 0.0000 0.0000  4 Rh 2.96
2 Tb 0.1160 0.1160 0.4305  3 Rh 2.86-2.89
3 Tb 0.8840 0.8840 0.5695  3 Rh 2.86-2.89
4 Y 0.3340 0.3340 0.1918  2 Rh 2.86
5 Y 0.6660 0.6660 0.8082  2 Rh 2.86
6 Rh 0.3233 0.3233 0.7596  5 Tb 2.86-2.96, 2 Y 2.86
7 Rh 0.6767 0.6767 0.2404  5 Tb 2.86-2.96, 2 Y 2.86

# 4
TbY3Rh4 | PBE-GGA | relaxed

Summary:
- DOS(E_F): 4.64 states/eV/cell
- SG: C2/m
- Raw total energy: -7.5232 eV/atom
- Crystal system: monoclinic

a = 7.7000 Å, b = 7.7000 Å, c = 4.8560 Å
α = 108.32°, β = 108.32°, γ = 36.76°
Last column: nearest neighbours and their distance in Å.
Atoms (fractional coordinates):
1 Tb 0.0000 0.0000 0.0000  8 Rh 2.97-2.98
2 Y 0.2499 0.2499 0.2500  8 Rh 2.98
3 Y 0.5000 0.5000 0.5000  8 Rh 2.97-2.98
4 Y 0.7501 0.7501 0.7500  8 Rh 2.98
5 Rh 0.1247 0.1247 0.6247  2 Tb 2.97-2.98, 6 Y 2.98
6 Rh 0.3753 0.3753 0.8754  6 Y 2.97-2.98, 2 Tb 2.97
7 Rh 0.6247 0.6247 0.1246  6 Y 2.97-2.98, 2 Tb 2.97
8 Rh 0.8753 0.8753 0.3753  2 Tb 2.97-2.98, 6 Y 2.98

# 5
TbY3Rh | PBE-GGA | relaxed

Summary:
- DOS(E_F): 11.58 states/eV/cell
- SG: C2/m
- Raw total energy: -6.6239 eV/atom
- Energy above the lowest structure with this stoichiometry: 0.032 eV per atom
- Crystal system: monoclinic

a = 7.2987 Å, b = 7.2987 Å, c = 8.1189 Å
α = 123.72°, β = 123.72°, γ = 72.18°
Last column: nearest neighbours and their distance in Å.
Atoms (fractional coordinates):
1 Tb 0.0517 0.0517 0.3428  1 Rh 2.66
2 Tb 0.9483 0.9483 0.6572  1 Rh 2.66
3 Y 0.0493 0.4462 0.2073  1 Rh 2.68
4 Y 0.4462 0.0493 0.2073  1 Rh 2.68
5 Y 0.4484 0.4484 0.7383  1 Rh 2.69
6 Y 0.5516 0.5516 0.2617  1 Rh 2.69
7 Y 0.5538 0.9507 0.7927  1 Rh 2.68
8 Y 0.9507 0.5538 0.7927  1 Rh 2.68
9 Rh 0.2489 0.2489 0.8744  1 Tb 2.66, 3 Y 2.68-2.69
10 Rh 0.7511 0.7511 0.1256  1 Tb 2.66, 3 Y 2.68-2.69

# 6
Tb4YRh5 | PBE-GGA | relaxed

Summary:
- DOS(E_F): 7.00 states/eV/cell
- SG: P4/mmm
- Raw total energy: -7.0114 eV/atom
- Crystal system: tetragonal

a = 3.4692 Å, b = 3.4692 Å, c = 16.9226 Å
α = 90.00°, β = 90.00°, γ = 90.00°
Last column: nearest neighbours and their distance in Å.
Atoms (fractional coordinates):
1 Tb 0.0000 0.0000 0.1000  8 Rh 2.98
2 Tb 0.0000 0.0000 0.3001  8 Rh 2.97-2.98
3 Tb 0.0000 0.0000 0.6999  8 Rh 2.97-2.98
4 Tb 0.0000 0.0000 0.9000  8 Rh 2.98
5 Y 0.0000 0.0000 0.5000  8 Rh 2.99
6 Rh 0.5000 0.5000 0.0000  8 Tb 2.98
7 Rh 0.5000 0.5000 0.1999  8 Tb 2.98
8 Rh 0.5000 0.5000 0.3994  4 Tb 2.97, 4 Y 2.99
9 Rh 0.5000 0.5000 0.6006  4 Tb 2.97, 4 Y 2.99
10 Rh 0.5000 0.5000 0.8001  8 Tb 2.98

# 7
TbYRh2 | PBE-GGA | relaxed

Summary:
- DOS(E_F): 2.40 states/eV/cell
- SG: Fm-3m
- Raw total energy: -7.2950 eV/atom
- Energy above the lowest structure with this stoichiometry: 0.000 eV per atom
- Crystal system: cubic

a = 4.8625 Å, b = 4.8625 Å, c = 4.8625 Å
α = 60.00°, β = 60.00°, γ = 60.00°
Last column: nearest neighbours and their distance in Å.
Atoms (fractional coordinates):
1 Tb 0.0000 0.0000 0.0000  8 Rh 2.98
2 Y 0.5000 0.5000 0.5000  8 Rh 2.98
3 Rh 0.2500 0.2500 0.2500  4 Tb 2.98, 4 Y 2.98
4 Rh 0.7500 0.7500 0.7500  4 Tb 2.98, 4 Y 2.98

# 8
TbY3Rh | PBE-GGA | relaxed

Summary:
- DOS(E_F): 8.29 states/eV/cell
- SG: Pm-3m
- Raw total energy: -6.4916 eV/atom
- Energy above the lowest structure with this stoichiometry: 0.164 eV per atom
- Crystal system: cubic

a = 5.4218 Å, b = 5.4218 Å, c = 5.4218 Å
α = 90.00°, β = 90.00°, γ = 90.00°
Last column: nearest neighbours and their distance in Å.
Atoms (fractional coordinates):
1 Tb 0.0000 0.0000 0.0000  12 Y 3.83
2 Y 0.0000 0.5000 0.5000  2 Rh 2.71
3 Y 0.5000 0.0000 0.5000  2 Rh 2.71
4 Y 0.5000 0.5000 0.0000  2 Rh 2.71
5 Rh 0.5000 0.5000 0.5000  6 Y 2.71

# 9
Tb5YRh6 | PBE-GGA | relaxed

Summary:
- DOS(E_F): 7.31 states/eV/cell
- SG: Cmmm
- Raw total energy: -6.9876 eV/atom
- Crystal system: orthorhombic

a = 7.6926 Å, b = 7.6926 Å, c = 6.8857 Å
α = 90.00°, β = 90.00°, γ = 143.15°
Last column: nearest neighbours and their distance in Å.
Atoms (fractional coordinates):
1 Tb 0.0000 0.0000 0.0000  8 Rh 2.98
2 Tb 0.3335 0.6665 0.0000  8 Rh 2.98
3 Tb 0.3335 0.6665 0.5000  8 Rh 2.98
4 Tb 0.6665 0.3335 0.0000  8 Rh 2.98
5 Tb 0.6665 0.3335 0.5000  8 Rh 2.98
6 Y 0.0000 0.0000 0.5000  8 Rh 2.98-2.99
7 Rh 0.1670 0.8330 0.2497  7 Tb 2.98, 1 Y 2.99
8 Rh 0.1670 0.8330 0.7503  7 Tb 2.98, 1 Y 2.99
9 Rh 0.5000 0.5000 0.2494  6 Tb 2.98, 2 Y 2.98
10 Rh 0.5000 0.5000 0.7506  6 Tb 2.98, 2 Y 2.98
11 Rh 0.8330 0.1670 0.2497  7 Tb 2.98, 1 Y 2.99
12 Rh 0.8330 0.1670 0.7503  7 Tb 2.98, 1 Y 2.99

# 10
TbYRh2 | PBE-GGA | relaxed

Summary:
- DOS(E_F): 2.02 states/eV/cell
- SG: P4/mmm
- Raw total energy: -7.2917 eV/atom
- Energy above the lowest structure with this stoichiometry: 0.003 eV per atom
- Crystal system: tetragonal

a = 4.8005 Å, b = 4.8005 Å, c = 3.5297 Å
α = 90.00°, β = 90.00°, γ = 90.00°
Last column: nearest neighbours and their distance in Å.
Atoms (fractional coordinates):
1 Tb 0.0000 0.0000 0.0000  8 Rh 2.98
2 Y 0.5000 0.5000 0.0000  8 Rh 2.98
3 Rh 0.0000 0.5000 0.5000  4 Y 2.98, 4 Tb 2.98
4 Rh 0.5000 0.0000 0.5000  4 Y 2.98, 4 Tb 2.98

# 11
TbY3Rh | PBE-GGA | relaxed

Summary:
- DOS(E_F): 12.18 states/eV/cell
- SG: Cm
- Raw total energy: -6.6559 eV/atom
- Energy above the lowest structure with this stoichiometry: 0.000 eV per atom
- Crystal system: monoclinic

a = 6.3163 Å, b = 6.3163 Å, c = 13.7326 Å
α = 114.13°, β = 114.13°, γ = 34.91°
Last column: nearest neighbours and their distance in Å.
Atoms (fractional coordinates):
1 Tb 0.0000 0.0000 0.0000  2 Rh 2.90
2 Tb 0.1081 0.1081 0.2792  3 Rh 2.84-2.93
3 Y 0.3152 0.3152 0.7631  10 Y 3.51-3.83, 2 Tb 3.59, 1 Rh 3.69
4 Y 0.3307 0.3307 0.1260  2 Rh 2.88
5 Y 0.6527 0.6527 0.5234  2 Rh 2.86
6 Y 0.6664 0.6664 0.8871  9 Y 3.51-3.83, 3 Tb 3.56-3.64, 1 Rh 3.66
7 Y 0.8754 0.8754 0.3693  3 Rh 2.85-2.96
8 Y 0.9824 0.9824 0.6483  2 Rh 2.92
9 Rh 0.3136 0.3136 0.4937  6 Y 2.85-2.92, 1 Tb 2.93
10 Rh 0.6661 0.6661 0.1535  4 Tb 2.84-2.90, 3 Y 2.88-2.96

# 12
Tb2YRh4 | PBE-GGA | relaxed

Summary:
- DOS(E_F): 3.02 states/eV/cell
- SG: I4/mmm
- Raw total energy: -6.9474 eV/atom
- Crystal system: tetragonal

a = 7.0175 Å, b = 7.0175 Å, c = 7.0175 Å
α = 139.15°, β = 139.15°, γ = 59.15°
Last column: nearest neighbours and their distance in Å.
Atoms (fractional coordinates):
1 Tb 0.2197 0.2197 0.0000  4 Rh 2.72
2 Tb 0.7803 0.7803 0.0000  4 Rh 2.72
3 Y 0.5000 0.5000 0.0000  8 Rh 2.87
4 Rh 0.1220 0.6220 0.5000  2 Tb 2.72, 2 Y 2.87, 1 Rh 2.98
5 Rh 0.3780 0.8780 0.5000  2 Tb 2.72, 2 Y 2.87, 1 Rh 2.98
6 Rh 0.6220 0.1220 0.5000  2 Tb 2.72, 2 Y 2.87, 1 Rh 2.98
7 Rh 0.8780 0.3780 0.5000  2 Tb 2.72, 2 Y 2.87, 1 Rh 2.98